Compound: Mn2BeNi
Source: the Alexandria database
Functional: PBE-GGA
Structure: optimized geometry

a = 4.5023 Å, b = 4.5023 Å, c = 4.5023 Å
α = 142.09°, β = 133.71°, γ = 61.31°
Fractional coordinates of all 4 atoms:
Mn  0.4949  0.4949  0.0000
Mn  0.0051  0.0051  0.0000
Ni  0.7500  0.2500  0.5000
Be  0.2500  0.7500  0.5000

SG: Immm


Compound: Mn2BeNi
Source: the Alexandria database
Functional: PBE-GGA
Structure: optimized geometry

a = 4.2808 Å, b = 4.2808 Å, c = 2.4763 Å
α = 90.00°, β = 90.00°, γ = 109.63°
Fractional coordinates of all 4 atoms:
Ni  0.5000  0.0000  0.5000
Mn  0.0000  0.0000  0.0000
Mn  0.5000  0.5000  0.0000
Be  0.0000  0.5000  0.5000

SG: Cmmm


Compound: MnBe2Ni
Source: the Alexandria database
Functional: PBE-GGA
Structure: optimized geometry

a = 5.8976 Å, b = 5.8976 Å, c = 4.8003 Å
α = 52.10°, β = 52.10°, γ = 90.00°
Fractional coordinates of all 8 atoms:
Ni  0.0000  0.0000  0.0000
Ni  0.7500  0.2500  0.5000
Mn  0.5000  0.5000  0.0000
Mn  0.2500  0.7500  0.5000
Be  0.1092  0.6250  0.2500
Be  0.6408  0.1250  0.2500
Be  0.3750  0.3592  0.7500
Be  0.8750  0.8908  0.7500

SG: I-42d


Compound: MnBeNi5
Source: the Alexandria database
Functional: PBE-GGA
Structure: optimized geometry

a = 3.5563 Å, b = 3.5563 Å, c = 6.0482 Å
α = 90.00°, β = 90.00°, γ = 90.00°
Fractional coordinates of all 7 atoms:
Mn  0.0000  0.0000  0.5000
Ni  0.0000  0.5000  0.7921
Ni  0.5000  0.0000  0.7921
Ni  0.0000  0.5000  0.2079
Ni  0.5000  0.0000  0.2079
Ni  0.5000  0.5000  0.5000
Be  0.5000  0.5000  0.0000

SG: P4/mmm


Compound: MnBeNi
Source: the Alexandria database
Functional: PBE-GGA
Structure: optimized geometry

a = 8.4142 Å, b = 3.6887 Å, c = 3.7669 Å
α = 90.00°, β = 90.00°, γ = 90.00°
Fractional coordinates of all 12 atoms:
Mn  0.8333  0.5000  0.0000
Mn  0.3333  0.0000  0.0000
Mn  0.1667  0.5000  0.0000
Mn  0.6667  0.0000  0.0000
Ni  0.6519  0.5000  0.5000
Ni  0.8481  0.0000  0.5000
Ni  0.3481  0.5000  0.5000
Ni  0.1519  0.0000  0.5000
Be  0.0000  0.5000  0.5000
Be  0.0000  0.0000  0.0000
Be  0.5000  0.0000  0.5000
Be  0.5000  0.5000  0.0000

SG: Cmmm


Compound: MnBe4Ni3
Source: the Alexandria database
Functional: PBE-GGA
Structure: optimized geometry

a = 3.7191 Å, b = 5.2803 Å, c = 7.4370 Å
α = 90.00°, β = 90.00°, γ = 90.00°
Fractional coordinates of all 16 atoms:
Ni  0.5000  0.5000  0.7500
Ni  0.5000  0.0000  0.7500
Ni  0.0000  0.0000  0.0000
Ni  0.5000  0.0000  0.2500
Ni  0.5000  0.5000  0.2500
Ni  0.0000  0.0000  0.5000
Be  0.5000  0.7579  0.5000
Be  0.0000  0.7579  0.2500
Be  0.0000  0.2421  0.2500
Be  0.0000  0.7579  0.7500
Be  0.5000  0.2421  0.0000
Be  0.5000  0.7579  0.0000
Be  0.5000  0.2421  0.5000
Be  0.0000  0.2421  0.7500
Mn  0.0000  0.5000  0.5000
Mn  0.0000  0.5000  0.0000

SG: P4/mmm


Compound: MnBeNi
Source: the Alexandria database
Functional: PBE-GGA
Structure: optimized geometry

a = 4.1748 Å, b = 7.1271 Å, c = 4.1176 Å
α = 90.00°, β = 105.83°, γ = 90.00°
Fractional coordinates of all 12 atoms:
Ni  0.5000  0.3350  0.0000
Ni  0.5000  0.1650  0.5000
Ni  0.5000  0.8350  0.5000
Ni  0.5000  0.6650  0.0000
Mn  0.0000  0.1614  0.0000
Mn  0.0000  0.6614  0.5000
Mn  0.0000  0.8386  0.0000
Mn  0.0000  0.3386  0.5000
Be  0.0000  0.5000  0.0000
Be  0.5000  0.5000  0.5000
Be  0.5000  0.0000  0.0000
Be  0.0000  0.0000  0.5000

SG: C2/m


Compound: MnBeNi2
Source: the Alexandria database
Functional: PBE-GGA
Structure: optimized geometry

a = 2.5022 Å, b = 2.5022 Å, c = 6.4085 Å
α = 90.00°, β = 90.00°, γ = 90.00°
Fractional coordinates of all 4 atoms:
Be  0.0000  0.0000  0.4906
Mn  0.5000  0.5000  0.7308
Ni  0.0000  0.0000  0.9993
Ni  0.5000  0.5000  0.2793

SG: P4mm


Compound: Mn2BeNi
Source: the Alexandria database
Functional: PBE-GGA
Structure: optimized geometry

a = 3.8999 Å, b = 3.8999 Å, c = 3.8999 Å
α = 60.00°, β = 60.00°, γ = 60.00°
Fractional coordinates of all 4 atoms:
Be  0.5000  0.5000  0.5000
Mn  0.0000  0.0000  0.0000
Mn  0.2500  0.2500  0.2500
Ni  0.7500  0.7500  0.7500

SG: F-43m


Compound: MnBe2Ni
Source: the Alexandria database
Functional: PBE-GGA
Structure: optimized geometry

a = 7.5990 Å, b = 7.5990 Å, c = 7.5990 Å
α = 18.37°, β = 18.37°, γ = 18.37°
Fractional coordinates of all 4 atoms:
Ni  0.7500  0.7500  0.7500
Be  0.4980  0.4980  0.4980
Be  0.0020  0.0020  0.0020
Mn  0.2500  0.2500  0.2500

SG: R-3m


Compound: Mn2Be15Ni2
Source: the Alexandria database
Functional: PBE-GGA
Structure: optimized geometry

a = 5.5217 Å, b = 5.5217 Å, c = 5.5217 Å
α = 82.52°, β = 82.52°, γ = 82.52°
Fractional coordinates of all 19 atoms:
Ni  0.1059  0.1059  0.1059
Ni  0.8941  0.8941  0.8941
Be  0.3475  0.3475  0.8366
Be  0.6525  0.1634  0.6525
Be  0.0000  0.3018  0.6982
Be  0.6982  0.3018  0.0000
Be  0.8366  0.3475  0.3475
Be  0.3475  0.8366  0.3475
Be  0.0000  0.0000  0.5000
Be  0.0000  0.5000  0.0000
Be  0.6982  0.0000  0.3018
Be  0.3018  0.0000  0.6982
Be  0.1634  0.6525  0.6525
Be  0.6525  0.6525  0.1634
Be  0.3018  0.6982  0.0000
Be  0.0000  0.6982  0.3018
Be  0.5000  0.0000  0.0000
Mn  0.3497  0.3497  0.3497
Mn  0.6503  0.6503  0.6503

SG: R-3m


Compound: MnBeNi
Source: the Alexandria database
Functional: PBE-GGA
Structure: optimized geometry

a = 3.8141 Å, b = 3.8141 Å, c = 4.7801 Å
α = 90.00°, β = 90.00°, γ = 120.00°
Fractional coordinates of all 6 atoms:
Be  0.3333  0.6667  0.3268
Be  0.0000  0.0000  0.6532
Mn  0.0000  0.0000  0.1511
Mn  0.6667  0.3333  0.0054
Ni  0.6667  0.3333  0.4964
Ni  0.3333  0.6667  0.8027

SG: P3m1


The following ΔH_f (0 K) values (in eV/atom) correspond, in order, to the records above: -0.045, 0.032, 0.240, -0.040, -0.132, -0.350, -0.094, -0.103, -0.115, -0.075, -0.148, -0.181.